(1)
First-principles (PBE-GGA) data for FeAsC after structural relaxation, as listed in the Alexandria database.

Computed properties:
total DFT energy (no corrections) = -7.0074 eV per atom
ΔE to the lowest computed polymorph = 0.00 eV per formula unit
formation energy = 0.44 eV/atom
size of the total moment = 0.32 Bohr magnetons per cell

Unit cell a=7.584 b=2.755 c=9.626 alpha=90.00 beta=116.67 gamma=90.00
Each line ends with the local moment (μB).
Fractional coordinates of all 12 atoms:
C (0.103, 0.500, 0.298)  0.00
C (0.273, 0.000, 0.646)  -0.01
C (0.103, 0.000, 0.798)  0.00
C (0.273, 0.500, 0.146)  -0.01
Fe (0.268, 0.000, 0.021)  0.32
Fe (0.267, 0.500, 0.780)  -0.15
Fe (0.267, 0.000, 0.280)  -0.15
Fe (0.268, 0.500, 0.521)  0.32
As (0.543, 0.500, 0.025)  0.00
As (0.888, 0.500, 0.348)  0.00
As (0.888, 0.000, 0.848)  0.00
As (0.543, 0.000, 0.525)  0.00



(2)
First-principles (PBE-GGA) data for CaTa4Pt after structural relaxation, as listed in the Alexandria database.

Computed properties:
total DFT energy (no corrections) = -8.9303 eV per atom
formation energy = 0.31 eV/atom
size of the total moment = 0.00 Bohr magnetons per cell

Unit cell a=5.535 b=5.535 c=5.535 alpha=60.00 beta=60.00 gamma=60.00
Fractional coordinates of all 6 atoms:
Ta (0.376, 0.376, 0.871)
Ta (0.376, 0.871, 0.376)
Ta (0.376, 0.376, 0.376)
Ta (0.871, 0.376, 0.376)
Ca (0.750, 0.750, 0.750)
Pt (0.000, 0.000, 0.000)



(3)
First-principles (PBE-GGA) data for Tb5Nd12Dy after structural relaxation, as listed in the Alexandria database.

Computed properties:
total DFT energy (no corrections) = -4.7033 eV per atom
formation energy = 0.02 eV/atom
size of the total moment = 0.00 Bohr magnetons per cell

Unit cell a=15.432 b=10.914 c=5.155 alpha=89.99 beta=89.99 gamma=45.08
Fractional coordinates of all 18 atoms:
Nd (0.501, 0.667, 0.500)
Nd (0.832, 0.667, 0.500)
Nd (0.334, 0.000, 0.000)
Nd (0.002, 0.667, 0.000)
Nd (0.168, 0.333, 0.500)
Nd (0.332, 0.667, 0.000)
Nd (0.499, 0.333, 0.500)
Nd (0.998, 0.333, 0.000)
Nd (0.835, 0.000, 0.500)
Nd (0.668, 0.333, 0.000)
Nd (0.165, 0.000, 0.500)
Nd (0.666, 0.000, 0.000)
Dy (0.000, 0.000, 0.000)
Tb (0.833, 0.333, 0.500)
Tb (0.167, 0.667, 0.500)
Tb (0.334, 0.333, 0.000)
Tb (0.500, 0.000, 0.500)
Tb (0.666, 0.667, 0.000)



(4)
First-principles (PBE-GGA) data for Dy3Y2Tm6Sc after structural relaxation, as listed in the Alexandria database.

Computed properties:
total DFT energy (no corrections) = -4.9585 eV per atom
formation energy = 0.03 eV/atom
size of the total moment = 0.00 Bohr magnetons per cell

Unit cell a=6.054 b=6.054 c=11.593 alpha=94.99 beta=94.99 gamma=119.94
Fractional coordinates of all 12 atoms:
Y (0.333, 0.667, 0.000)
Y (0.667, 0.333, 0.000)
Tm (0.249, 0.249, 0.751)
Tm (0.413, 0.082, 0.248)
Tm (0.587, 0.918, 0.752)
Tm (0.918, 0.587, 0.752)
Tm (0.751, 0.751, 0.249)
Tm (0.082, 0.413, 0.248)
Sc (0.000, 0.000, 0.000)
Dy (0.833, 0.167, 0.500)
Dy (0.500, 0.500, 0.500)
Dy (0.167, 0.833, 0.500)